Entry 1:
## Cu7Te6 (PBE-GGA)

Data for a relaxed structure of Cu7Te6.

The structure in CIF format:
```
data_Cu7Te6
_chemical_formula_sum 'Cu7 Te6'
_space_group_name_H-M_alt 'P 1'
_space_group_IT_number 1
_space_group_name_Hall 'P 1'
_cell_length_a 11.888
_cell_length_b 11.888
_cell_length_c 11.888
_cell_angle_alpha 25.39
_cell_angle_beta 25.39
_cell_angle_gamma 25.39
loop_
_atom_site_label
_atom_site_type_symbol
_atom_site_fract_x
_atom_site_fract_y
_atom_site_fract_z
Cu1 Cu 0.000 0.000 0.000
Cu2 Cu 0.087 0.087 0.605
Cu3 Cu 0.087 0.605 0.087
Cu4 Cu 0.395 0.913 0.913
Cu5 Cu 0.605 0.087 0.087
Cu6 Cu 0.913 0.395 0.913
Cu7 Cu 0.913 0.913 0.395
Te1 Te 0.192 0.192 0.192
Te2 Te 0.321 0.321 0.321
Te3 Te 0.435 0.435 0.435
Te4 Te 0.565 0.565 0.565
Te5 Te 0.679 0.679 0.679
Te6 Te 0.808 0.808 0.808
```

Properties
**Spin magnetization**: 0.00 μB/atom
**Symmetry**: R-3m (166)
**Formation energy (no corrections)**: 0.143 eV per atom

Entry 2:
## Cu3Te5 (PBE-GGA)

Data for a relaxed structure of Cu3Te5.

The structure in CIF format:
```
data_Cu3Te5
_chemical_formula_sum 'Cu6 Te10'
_space_group_name_H-M_alt 'P 1'
_space_group_IT_number 1
_space_group_name_Hall 'P 1'
_cell_length_a 6.264
_cell_length_b 8.644
_cell_length_c 8.573
_cell_angle_alpha 90.00
_cell_angle_beta 111.35
_cell_angle_gamma 90.00
loop_
_atom_site_label
_atom_site_type_symbol
_atom_site_fract_x
_atom_site_fract_y
_atom_site_fract_z
Cu1 Cu 0.049 0.250 0.141
Cu2 Cu 0.234 0.750 0.500
Cu3 Cu 0.411 0.250 0.861
Cu4 Cu 0.589 0.750 0.139
Cu5 Cu 0.766 0.250 0.500
Cu6 Cu 0.951 0.750 0.859
Te1 Te 0.143 0.001 0.783
Te2 Te 0.143 0.499 0.783
Te3 Te 0.175 0.250 0.499
Te4 Te 0.201 0.750 0.189
Te5 Te 0.486 0.250 0.191
Te6 Te 0.514 0.750 0.809
Te7 Te 0.799 0.250 0.811
Te8 Te 0.825 0.750 0.501
Te9 Te 0.857 0.501 0.217
Te10 Te 0.857 0.999 0.217
```

Properties
**Spin magnetization**: 0.00 μB/atom
**Symmetry**: P2_1/m (11)
**Formation energy (no corrections)**: 0.199 eV per atom
**Offset from the most stable computed form**: 11 meV/atom

Entry 3:
## Cu4Te3 (PBE-GGA)

Data for a relaxed structure of Cu4Te3.

The structure in CIF format:
```
data_Cu4Te3
_chemical_formula_sum 'Cu4 Te3'
_space_group_name_H-M_alt 'P 1'
_space_group_IT_number 1
_space_group_name_Hall 'P 1'
_cell_length_a 6.373
_cell_length_b 6.373
_cell_length_c 4.405
_cell_angle_alpha 90.00
_cell_angle_beta 90.00
_cell_angle_gamma 120.00
loop_
_atom_site_label
_atom_site_type_symbol
_atom_site_fract_x
_atom_site_fract_y
_atom_site_fract_z
Cu1 Cu 0.000 0.000 0.250
Cu2 Cu 0.000 0.000 0.750
Cu3 Cu 0.333 0.667 0.000
Cu4 Cu 0.667 0.333 0.000
Te1 Te 0.000 0.500 0.500
Te2 Te 0.500 0.000 0.500
Te3 Te 0.500 0.500 0.500
```

Properties
**Spin magnetization**: 0.00 μB/atom
**Symmetry**: P6/mmm (191)
**Formation energy (no corrections)**: 0.607 eV per atom
**Offset from the most stable computed form**: 528 meV/atom

Entry 4:
## CuTe5 (PBE-GGA)

Data for a relaxed structure of CuTe5.

The structure in CIF format:
```
data_CuTe5
_chemical_formula_sum 'Cu1 Te5'
_space_group_name_H-M_alt 'P 1'
_space_group_IT_number 1
_space_group_name_Hall 'P 1'
_cell_length_a 7.008
_cell_length_b 7.008
_cell_length_c 3.976
_cell_angle_alpha 90.00
_cell_angle_beta 90.00
_cell_angle_gamma 120.00
loop_
_atom_site_label
_atom_site_type_symbol
_atom_site_fract_x
_atom_site_fract_y
_atom_site_fract_z
Cu1 Cu 0.000 0.000 0.000
Te1 Te 0.000 0.725 0.500
Te2 Te 0.275 0.275 0.500
Te3 Te 0.333 0.667 0.000
Te4 Te 0.667 0.333 0.000
Te5 Te 0.725 0.000 0.500
```

Properties
**Spin magnetization**: 0.00 μB/atom
**Symmetry**: P-62m (189)
**Formation energy (no corrections)**: 0.199 eV per atom
**Offset from the most stable computed form**: 116 meV/atom

| no. | energy (eV per atom) |
| --- | --- |
| 1 | -3.512 |
| 2 | -3.301 |
| 3 | -3.080 |
| 4 | -3.102 |